A geometry-optimized Ho2ZnPb structure, computed with GGA-PBE.

Cell: 3.612 3.612 7.686 Å, 90.00 90.00 90.00°
Element x y z (fractional)
Ho: 0.000 0.000 0.225
Ho: 0.000 0.000 0.775
Zn: 0.500 0.500 0.000
Pb: 0.500 0.500 0.500

Results
V (Å³ per cell): 100.28
Fermi-level density of states (states/eV/f.u.): 1.86
Energy (eV per atom): -3.909
Energy of formation from the pure elements (eV per atom): -0.374